# 1
VASP calculation (PBE) on crystalline PrAl2Ni at its relaxed geometry.

For the energy relative to the elements, the calculation gives -0.54 eV per atom. The uncorrected energy is -5.054 eV/atom. The density of states at the Fermi level comes out at 19.392 states/eV/cell.

The structure belongs to space group Pnma (No. 62); the cell edges are 15.3432, 6.8883 and 5.8493 Å and the angles 90.00°, 90.00° and 90.00°. The asymmetric unit holds Pr at (0.1027, 0.2500, 0.2045), Pr at (0.1352, 0.7500, 0.0155), Al at (0.0469, 0.0602, 0.6902), Al at (0.2100, 0.5554, 0.5138), Ni at (0.0718, 0.7500, 0.5004) and Ni at (0.1874, 0.2500, 0.7415).

# 2
VASP calculation (PBE) on crystalline Th2GaOs at its relaxed geometry.

For the energy relative to the elements, the calculation gives -0.27 eV per atom. The uncorrected energy is -7.549 eV/atom. The density of states at the Fermi level comes out at 3.963 states/eV/cell.

The structure belongs to space group P4/mmm (No. 123); the cell edges are 3.5963, 3.5963 and 7.5035 Å and the angles 90.00°, 90.00° and 90.00°. The asymmetric unit holds Th at (0.0000, 0.0000, 0.2272), Ga at (0.5000, 0.5000, 0.5000) and Os at (0.5000, 0.5000, 0.0000).

# 3
VASP calculation (PBE) on crystalline TiBe2Si at its relaxed geometry.

The value obtained for the raw formation energy is -362 meV per atom. The uncorrected energy is -5.555 eV/atom. The density of states at the Fermi level comes out at 0.652 states/eV/cell.

The structure belongs to space group P4/mmm (No. 123); the cell edges are 3.5832, 3.5832 and 3.5416 Å and the angles 90.00°, 90.00° and 90.00°. The asymmetric unit holds Ti at (0.0000, 0.0000, 0.0000), Be at (0.0000, 0.5000, 0.5000) and Si at (0.5000, 0.5000, 0.0000).

# 4
VASP calculation (PBE) on crystalline YAuN2O at its relaxed geometry.

The value obtained for the raw formation energy is 755 meV per atom. The uncorrected energy is -5.515 eV/atom. The density of states at the Fermi level comes out at 2.136 states/eV/cell.

The structure belongs to space group P4/mmm (No. 123); the cell edges are 4.6111, 4.6111 and 4.3123 Å and the angles 90.00°, 90.00° and 90.00°. The asymmetric unit holds Y at (0.0000, 0.0000, 0.0000), Au at (0.5000, 0.5000, 0.5000), N at (0.0000, 0.5000, 0.0000) and O at (0.0000, 0.0000, 0.5000).

# 5
VASP calculation (PBE) on crystalline Sr2CaH4 at its relaxed geometry.

The uncorrected energy is -2.989 eV/atom. The density of states at the Fermi level comes out at 6.085 states/eV/cell.

The structure belongs to space group I4/mmm (No. 139); the cell edges are 4.3067, 4.3067 and 13.5296 Å and the angles 90.00°, 90.00° and 90.00°. The asymmetric unit holds Sr at (0.0000, 0.0000, 0.1505), Ca at (0.0000, 0.0000, 0.5000), H at (0.0000, 0.0000, 0.3324) and H at (0.0000, 0.5000, 0.0000).

# 6
VASP calculation (PBE) on crystalline Np2CuCl8 at its relaxed geometry.

As for the polymorph energy (0 for the lowest one): 108 meV/atom. The value obtained for the raw formation energy is -1296 meV per atom. The uncorrected energy is -5.364 eV/atom. The density of states at the Fermi level comes out at 22.057 states/eV/cell.

The structure belongs to space group C2/m (No. 12); the cell edges are 14.0862, 7.9525 and 8.1256 Å and the angles 90.00°, 124.86° and 90.00°. The asymmetric unit holds Np at (0.1230, 0.0000, 0.0562), Cu at (0.0000, 0.0000, 0.5000), Cl at (0.0605, 0.2113, 0.2357), Cl at (0.1623, 0.5000, 0.7027) and Cl at (0.1709, 0.0000, 0.7728).